(1)
Density functional theory data (PBE) for a relaxed NpTlCu2Te4 crystal.

Cell: 7.4474 7.4715 8.0198 Å, 90.00 90.00 90.00°
Space group I222 (No. 23)
Asymmetric unit:
1 Np 0.0000 0.0000 0.0000
2 Tl 0.0000 0.0000 0.5000
3 Cu 0.0000 0.5000 0.3390
4 Te 0.2240 0.2449 0.2974

Values from the calculation:
**E_form (uncorrected)**: -0.880 eV/f.u.
**D(E_F)**: 9.877 states/eV/f.u.



(2)
Density functional theory data (PBE) for a relaxed Tb12Y6In crystal.

Cell: 11.8962 11.8962 14.9695 Å, 90.00 90.00 120.00°
Space group R-3 (No. 148, hexagonal axes)
Asymmetric unit:
1 Tb 0.0008 0.8272 0.3132
2 Tb 0.0449 0.1957 0.9160
3 Y 0.0185 0.5906 0.1865
4 In 0.0000 0.0000 0.5000

Values from the calculation:
**Energy of formation from the pure elements**: 0.0764 eV/atom
**D(E_F)**: 29.520 states/eV/f.u.



Question: What is the formula in the first record?
Answer: NpTlCu2Te4